LaSm2Al2Ni4 | PBE | relaxed

Properties
space-group type	No. 12
total DFT energy (no corrections)	-0.398	Ry/atom

a b c (Å): 5.458 5.458 8.255
angles (deg): 97.89 97.89 44.82
Positions (direct):
1 Ni 0.737 0.737 0.087
2 La 0.000 0.000 0.000
3 Ni 0.263 0.263 0.913
4 Sm 0.626 0.626 0.384
5 Sm 0.374 0.374 0.616
6 Al 0.679 0.679 0.783
7 Ni 0.915 0.915 0.366
8 Al 0.321 0.321 0.217
9 Ni 0.085 0.085 0.634